No. 1
The following is a DFT calculation (PBE) of RbZn3Au after structural relaxation.

Unit cell a=6.6831 b=6.6831 c=6.1561 alpha=90.00 beta=90.00 gamma=120.00
Atoms (fractional coordinates):
Rb: 0.3333 0.6667 0.2500
Rb: 0.6667 0.3333 0.7500
Zn: 0.1941 0.3881 0.7500
Zn: 0.1941 0.8059 0.7500
Zn: 0.3881 0.1941 0.2500
Zn: 0.6119 0.8059 0.7500
Zn: 0.8059 0.1941 0.2500
Zn: 0.8059 0.6119 0.2500
Au: 0.0000 0.0000 0.0000
Au: 0.0000 0.0000 0.5000

Summary:
- ΔH_f (0 K) (meV/atom) = 39
- crystal system = hexagonal
- energy above the most stable polymorph in this dataset (eV per atom) = 0.091



No. 2
The following is a DFT calculation (PBE) of LaTbPmTh2 after structural relaxation.

Unit cell a=8.6000 b=8.6000 c=6.7560 alpha=90.00 beta=90.00 gamma=133.79
Atoms (fractional coordinates):
La: 0.2409 0.7591 0.7500
La: 0.7591 0.2409 0.2500
Tb: 0.1508 0.8492 0.2500
Tb: 0.8492 0.1508 0.7500
Pm: 0.3492 0.6508 0.2500
Pm: 0.6508 0.3492 0.7500
Th: 0.2478 0.2478 0.0000
Th: 0.2478 0.2478 0.5000
Th: 0.7522 0.7522 0.0000
Th: 0.7522 0.7522 0.5000

Summary:
- ΔH_f (0 K) (meV/atom) = 349
- crystal system = orthorhombic



Question: Which formula does entry 1 have?
Answer: RbZn3Au